This record from the Alexandria database describes a relaxed Ni4Pd5Pt2 crystal. The functional is PBE.

a b c (Å): 3.8439 9.6005 4.7114
angles (deg): 77.41 114.08 90.00
Last column: magnetic moment on the atom in μB.
Fractional positions:
1 Pd 0.7786 0.0935 0.5571  0.32
2 Pd 0.8619 0.4484 0.7239  0.30
3 Pd 0.1381 0.5516 0.2761  0.30
4 Pd 0.2214 0.9065 0.4429  0.32
5 Pd 0.5000 0.0000 0.0000  0.31
6 Ni 0.3143 0.2706 0.6285  0.90
7 Ni 0.6857 0.7294 0.3715  0.90
8 Ni 0.9512 0.8176 0.9024  0.88
9 Ni 0.0488 0.1824 0.0976  0.88
10 Pt 0.5861 0.3543 0.1723  0.43
11 Pt 0.4139 0.6457 0.8277  0.43

Density of states at the Fermi level in states/eV per atom: 1.56
Spin magnetization in μB/atom: 0.5244
Relative energy among the computed polymorphs in meV/atom: 0
SG: C2/m